VASP calculation (PBEsol) on a geometry-optimized SrY2Br structure.

Output
* Fermi-level density of states: 4.266 states/eV/f.u.
* excess energy over the best structure of this formula in the dataset: 0.582 eV/atom
* energy relative to the elements, uncorrected: 0.163 eV per atom
* size of the total moment: 0.00 μB/f.u.

a = 5.619 Å, b = 5.619 Å, c = 5.619 Å
α = 60.00°, β = 60.00°, γ = 60.00°
Fractional coordinates of all 4 atoms:
Sr 0.500 0.500 0.500
Y 0.250 0.250 0.250
Y 0.750 0.750 0.750
Br 0.000 0.000 0.000

VASP calculation (PBEsol) on a geometry-optimized SrY3Br structure.

Output
* Fermi-level density of states: 5.275 states/eV/f.u.
* excess energy over the best structure of this formula in the dataset: 1.274 eV/atom
* energy relative to the elements, uncorrected: 1.048 eV per atom
* size of the total moment: 0.00 μB/f.u.

a = 5.658 Å, b = 5.658 Å, c = 5.658 Å
α = 90.00°, β = 90.00°, γ = 90.00°
Fractional coordinates of all 5 atoms:
Br 0.500 0.500 0.500
Sr 0.000 0.000 0.000
Y 0.000 0.500 0.000
Y 0.000 0.000 0.500
Y 0.500 0.000 0.000

VASP calculation (PBEsol) on a geometry-optimized SrY2Br structure.

Output
* Fermi-level density of states: 4.147 states/eV/f.u.
* excess energy over the best structure of this formula in the dataset: 0.086 eV/atom
* energy relative to the elements, uncorrected: -0.334 eV per atom
* size of the total moment: 0.00 μB/f.u.

a = 3.589 Å, b = 6.374 Å, c = 6.513 Å
α = 110.33°, β = 90.00°, γ = 106.35°
Fractional coordinates of all 4 atoms:
Y 0.220 0.441 0.756
Y 0.975 0.950 0.911
Sr 0.787 0.574 0.286
Br 0.518 0.035 0.547

VASP calculation (PBEsol) on a geometry-optimized SrY2Br structure.

Output
* Fermi-level density of states: 7.076 states/eV/f.u.
* excess energy over the best structure of this formula in the dataset: 0.362 eV/atom
* energy relative to the elements, uncorrected: -0.058 eV per atom
* size of the total moment: 0.68 μB/f.u.

a = 3.664 Å, b = 6.509 Å, c = 6.356 Å
α = 120.80°, β = 90.00°, γ = 90.00°
Each line ends with the local moment (μB).
Fractional coordinates of all 4 atoms:
Sr 0.500 0.500 0.000  0.03
Br 0.500 0.000 0.000  0.00
Y 0.000 0.000 0.500  0.18
Y 0.000 0.500 0.500  0.18

VASP calculation (PBEsol) on a geometry-optimized SrY2Br structure.

Output
* Fermi-level density of states: 3.900 states/eV/f.u.
* excess energy over the best structure of this formula in the dataset: 0.404 eV/atom
* energy relative to the elements, uncorrected: -0.016 eV per atom
* size of the total moment: 0.00 μB/f.u.

a = 3.711 Å, b = 5.824 Å, c = 5.824 Å
α = 90.00°, β = 90.00°, γ = 90.00°
Fractional coordinates of all 4 atoms:
Sr 0.500 0.000 0.000
Y 0.000 0.500 0.000
Y 0.000 0.000 0.500
Br 0.500 0.500 0.500

VASP calculation (PBEsol) on a geometry-optimized SrZnBr structure.

Output
* Fermi-level density of states: 1.494 states/eV/f.u.
* excess energy over the best structure of this formula in the dataset: 0.262 eV/atom
* energy relative to the elements, uncorrected: -0.440 eV per atom
* size of the total moment: 0.00 μB/f.u.

a = 5.105 Å, b = 5.105 Å, c = 5.105 Å
α = 60.00°, β = 60.00°, γ = 60.00°
Fractional coordinates of all 3 atoms:
Br 0.000 0.000 0.000
Zn 0.250 0.250 0.250
Sr 0.500 0.500 0.500